No. 1
Compound: AcSmPd4
Source: Alexandria via LeMat-Bulk
Functional: PBE-GGA
Structure: relaxed

Unit cell a=4.344 b=20.371 c=5.901 alpha=90.00 beta=90.00 gamma=90.00
Space group Cmcm (No. 63)
Unique sites:
Ac (0.000, 0.219, 0.250) (multiplicity 4)
Sm (0.000, 0.074, 0.750) (multiplicity 4)
Pd (0.000, 0.070, 0.250) (multiplicity 4)
Pd (0.000, 0.359, 0.508) (multiplicity 8)
Pd (0.000, 0.500, 0.000) (multiplicity 4)

As for the energy of formation: -0.799 eV per atom. The polymorph energy (0 for the lowest one) comes out at 0.0 meV per atom.

No. 2
Compound: MgZn2Ge
Source: Alexandria via LeMat-Bulk
Functional: PBE-GGA
Structure: relaxed

Unit cell a=4.012 b=4.012 c=4.286 alpha=90.00 beta=90.00 gamma=90.00
Space group P4/mmm (No. 123)
Unique sites:
Mg (0.000, 0.000, 0.000) (multiplicity 1)
Zn (0.000, 0.500, 0.500) (multiplicity 2)
Ge (0.500, 0.500, 0.000) (multiplicity 1)

As for the energy of formation: -0.002 eV per atom. The polymorph energy (0 for the lowest one) comes out at 0.0 meV per atom.

No. 3
Compound: Ca2ScTlZn
Source: Alexandria via LeMat-Bulk
Functional: PBE-GGA
Structure: relaxed

Unit cell a=5.941 b=5.941 c=5.031 alpha=90.00 beta=90.00 gamma=90.00
Space group P4/mmm (No. 123)
Unique sites:
Ca (0.000, 0.500, 0.000) (multiplicity 2)
Sc (0.000, 0.000, 0.500) (multiplicity 1)
Tl (0.500, 0.500, 0.000) (multiplicity 1)
Zn (0.500, 0.500, 0.500) (multiplicity 1)

As for the energy of formation: 0.443 eV per atom.

No. 4
Compound: BaSiN3
Source: Alexandria via LeMat-Bulk
Functional: PBE-GGA
Structure: relaxed

Unit cell a=3.874 b=3.874 c=3.874 alpha=90.00 beta=90.00 gamma=90.00
Space group Pm-3m (No. 221)
Unique sites:
Ba (0.000, 0.000, 0.000) (multiplicity 1)
Si (0.500, 0.500, 0.500) (multiplicity 1)
N (0.000, 0.500, 0.500) (multiplicity 3)

The calculation puts the energy relative to the elements, uncorrected at 0.187 eV per atom.

No. 5
Compound: NaLuTlHg
Source: Alexandria via LeMat-Bulk
Functional: PBE-GGA
Structure: relaxed

Unit cell a=7.368 b=7.368 c=7.368 alpha=90.00 beta=90.00 gamma=90.00
Space group F-43m (No. 216)
Unique sites:
Na (0.000, 0.000, 0.000) (multiplicity 4)
Lu (0.000, 0.000, 0.500) (multiplicity 4)
Tl (0.250, 0.250, 0.250) (multiplicity 4)
Hg (0.250, 0.250, 0.750) (multiplicity 4)

As for the energy of formation: -0.239 eV per atom.

No. 6
Compound: La2Dy6Y3Th
Source: Alexandria via LeMat-Bulk
Functional: PBE-GGA
Structure: relaxed

Unit cell a=6.230 b=10.783 c=11.837 alpha=90.00 beta=100.09 gamma=90.00
Space group C2/m (No. 12)
Unique sites:
La (0.000, 0.167, 0.000) (multiplicity 4)
Dy (0.244, 0.500, 0.749) (multiplicity 4)
Dy (0.249, 0.336, 0.251) (multiplicity 8)
Y (0.000, 0.000, 0.500) (multiplicity 2)
Y (0.000, 0.333, 0.500) (multiplicity 4)
Th (0.000, 0.500, 0.000) (multiplicity 2)

As for the energy of formation: 0.031 eV per atom.

No. 7
Compound: MgIn4Rh5
Source: Alexandria via LeMat-Bulk
Functional: PBE-GGA
Structure: relaxed

Unit cell a=3.220 b=3.220 c=15.992 alpha=90.00 beta=90.00 gamma=90.00
Space group P4/mmm (No. 123)
Unique sites:
Mg (0.000, 0.000, 0.000) (multiplicity 1)
In (0.000, 0.000, 0.193) (multiplicity 2)
In (0.000, 0.000, 0.398) (multiplicity 2)
Rh (0.500, 0.500, 0.097) (multiplicity 2)
Rh (0.500, 0.500, 0.298) (multiplicity 2)
Rh (0.500, 0.500, 0.500) (multiplicity 1)

As for the energy of formation: -0.468 eV per atom.

No. 8
Compound: Zr2NbRu
Source: Alexandria via LeMat-Bulk
Functional: PBE-GGA
Structure: relaxed

Unit cell a=3.288 b=3.288 c=7.044 alpha=90.00 beta=90.00 gamma=90.00
Space group P4/mmm (No. 123)
Unique sites:
Zr (0.000, 0.000, 0.232) (multiplicity 2)
Nb (0.500, 0.500, 0.500) (multiplicity 1)
Ru (0.500, 0.500, 0.000) (multiplicity 1)

As for the energy of formation: -0.257 eV per atom.

No. 9
Compound: PmSi4Rh6
Source: Alexandria via LeMat-Bulk
Functional: PBE-GGA
Structure: relaxed

Unit cell a=7.0391 b=7.0391 c=3.8124 alpha=90.00 beta=90.00 gamma=120.00
Space group P-6m2 (No. 187)
Unique sites:
Pm (0.0000, 0.0000, 0.0000) (multiplicity 1)
Si (0.2012, 0.4023, 0.5000) (multiplicity 3)
Si (0.6667, 0.3333, 0.0000) (multiplicity 1)
Rh (0.0656, 0.5328, 0.0000) (multiplicity 3)
Rh (0.3985, 0.1993, 0.5000) (multiplicity 3)

The calculation puts the energy relative to the elements, uncorrected at -0.990 eV per atom.

No. 10
Compound: BeTlInGe2
Source: Alexandria via LeMat-Bulk
Functional: PBE-GGA
Structure: relaxed

Unit cell a=4.581 b=4.581 c=5.337 alpha=90.00 beta=90.00 gamma=90.00
Space group P4/mmm (No. 123)
Unique sites:
Be (0.000, 0.000, 0.000) (multiplicity 1)
Tl (0.500, 0.500, 0.500) (multiplicity 1)
In (0.000, 0.000, 0.500) (multiplicity 1)
Ge (0.000, 0.500, 0.000) (multiplicity 2)

As for the energy of formation: 0.370 eV per atom.

No. 11
Compound: Ta2BeNi
Source: Alexandria via LeMat-Bulk
Functional: PBE-GGA
Structure: relaxed

Unit cell a=3.667 b=3.145 c=9.721 alpha=90.00 beta=90.00 gamma=90.00
Space group Amm2 (No. 38)
Unique sites:
Ta (0.000, 0.000, 0.000) (multiplicity 2)
Ta (0.500, 0.000, 0.313) (multiplicity 2)
Be (0.500, 0.000, 0.582) (multiplicity 2)
Ni (0.000, 0.000, 0.719) (multiplicity 2)

As for the energy of formation: -0.149 eV per atom.

No. 12
Compound: ZrSc2AlV
Source: Alexandria via LeMat-Bulk
Functional: PBE-GGA
Structure: relaxed

Unit cell a=4.868 b=4.868 c=4.853 alpha=90.00 beta=90.00 gamma=90.00
Space group P4/mmm (No. 123)
Unique sites:
Zr (0.000, 0.000, 0.000) (multiplicity 1)
Sc (0.000, 0.500, 0.500) (multiplicity 2)
Al (0.500, 0.500, 0.000) (multiplicity 1)
V (0.000, 0.000, 0.500) (multiplicity 1)

As for the energy of formation: 0.532 eV per atom.

No. 13
Compound: YFeCl2
Source: Alexandria via LeMat-Bulk
Functional: PBE-GGA
Structure: relaxed

Unit cell a=3.4028 b=3.4028 c=25.6235 alpha=90.00 beta=90.00 gamma=120.00
Space group R-3m (No. 166, hexagonal axes)
Unique sites:
Y (0.0000, 0.0000, 0.0000) (multiplicity 3)
Fe (0.0000, 0.0000, 0.5000) (multiplicity 3)
Cl (0.0000, 0.0000, 0.4108) (multiplicity 6)

The calculation puts the energy relative to the elements, uncorrected at -0.618 eV per atom. The polymorph energy (0 for the lowest one) comes out at 204.2 meV per atom.

No. 14
Compound: Mn2PbSe2
Source: Alexandria via LeMat-Bulk
Functional: PBE-GGA
Structure: relaxed

Unit cell a=5.028 b=5.028 c=8.923 alpha=90.00 beta=90.00 gamma=90.00
Space group I4/mmm (No. 139)
Unique sites:
Mn (0.000, 0.000, 0.166) (multiplicity 4)
Pb (0.000, 0.000, 0.500) (multiplicity 2)
Se (0.000, 0.500, 0.250) (multiplicity 4)

The calculation puts the energy relative to the elements, uncorrected at 0.031 eV per atom. The polymorph energy (0 for the lowest one) comes out at 140.9 meV per atom.

No. 15
Compound: NiAs2P
Source: Alexandria via LeMat-Bulk
Functional: PBE-GGA
Structure: relaxed

Unit cell a=3.4883 b=3.4883 c=18.1127 alpha=90.00 beta=90.00 gamma=120.00
Space group R-3m (No. 166, hexagonal axes)
Unique sites:
Ni (0.0000, 0.0000, 0.0000) (multiplicity 3)
As (0.0000, 0.0000, 0.2532) (multiplicity 6)
P (0.0000, 0.0000, 0.5000) (multiplicity 3)

As for the energy of formation: 0.044 eV per atom.

No. 16
Compound: SrB2Pd6
Source: Alexandria via LeMat-Bulk
Functional: PBE-GGA
Structure: relaxed

Unit cell a=10.874 b=10.874 c=10.874 alpha=90.00 beta=90.00 gamma=90.00
Space group Fd-3m (No. 227, origin choice 2)
Unique sites:
Sr (0.125, 0.125, 0.125) (multiplicity 8)
B (0.000, 0.000, 0.500) (multiplicity 16)
Pd (0.075, 0.375, 0.875) (multiplicity 48)

As for the energy of formation: -0.348 eV per atom.

No. 17
Compound: PuCuH8Rh4
Source: Alexandria via LeMat-Bulk
Functional: PBE-GGA
Structure: relaxed

Unit cell a=5.7419 b=5.7419 c=13.3514 alpha=90.00 beta=90.00 gamma=120.00
Space group R3m (No. 160, hexagonal axes)
Unique sites:
Pu (0.0000, 0.0000, 0.0000) (multiplicity 3)
Cu (0.0000, 0.0000, 0.6070) (multiplicity 3)
H (0.0000, 0.0000, 0.3787) (multiplicity 3)
H (0.0000, 0.0000, 0.8354) (multiplicity 3)
H (0.0364, 0.5182, 0.8365) (multiplicity 9)
H (0.0915, 0.5457, 0.3771) (multiplicity 9)
Rh (0.0000, 0.0000, 0.2455) (multiplicity 3)
Rh (0.0023, 0.5012, 0.1145) (multiplicity 9)

Its uncorrected energy is -5.433 eV per atom.

No. 18
Compound: LuTiRh2
Source: Alexandria via LeMat-Bulk
Functional: PBE-GGA
Structure: relaxed

Unit cell a=4.625 b=4.625 c=3.157 alpha=90.00 beta=90.00 gamma=90.00
Space group P4/mmm (No. 123)
Unique sites:
Lu (0.000, 0.000, 0.000) (multiplicity 1)
Ti (0.500, 0.500, 0.000) (multiplicity 1)
Rh (0.000, 0.500, 0.500) (multiplicity 2)

As for the energy of formation: -0.792 eV per atom. The polymorph energy (0 for the lowest one) comes out at 58.7 meV per atom.

No. 19
Compound: SbTeMoPt2
Source: Alexandria via LeMat-Bulk
Functional: PBE-GGA
Structure: relaxed

Unit cell a=4.894 b=4.894 c=5.796 alpha=90.00 beta=90.00 gamma=90.00
Space group P4/mmm (No. 123)
Unique sites:
Sb (0.000, 0.000, 0.000) (multiplicity 1)
Te (0.000, 0.000, 0.500) (multiplicity 1)
Mo (0.500, 0.500, 0.000) (multiplicity 1)
Pt (0.000, 0.500, 0.500) (multiplicity 2)

The calculation puts the energy relative to the elements, uncorrected at 1.336 eV per atom.

No. 20
Compound: PaClO2
Source: Alexandria via LeMat-Bulk
Functional: PBE-GGA
Structure: relaxed

Unit cell a=14.249 b=6.379 c=5.494 alpha=90.00 beta=90.00 gamma=90.00
Space group Pnma (No. 62)
Unique sites:
Pa (0.076, 0.250, 0.003) (multiplicity 4)
Pa (0.176, 0.750, 0.819) (multiplicity 4)
Cl (0.102, 0.750, 0.321) (multiplicity 4)
Cl (0.131, 0.250, 0.484) (multiplicity 4)
O (0.049, 0.559, 0.825) (multiplicity 8)
O (0.203, 0.045, 0.003) (multiplicity 8)

The calculation puts the energy relative to the elements, uncorrected at -2.916 eV per atom. The polymorph energy (0 for the lowest one) comes out at 62.2 meV per atom.